Entry 1:
The following is a DFT calculation (PBEsol) of an optimized crystal structure of MnB2Pt2. Values from VASP.

Cell and atoms, written as Quantum ESPRESSO input:
```
&SYSTEM
  ibrav = 0, nat = 5, ntyp = 3
/
ATOMIC_SPECIES
Pt 195.08 Pt.upf
B 10.81 B.upf
Mn 54.94 Mn.upf
CELL_PARAMETERS angstrom
3.207 0.000 0.000
0.000 3.207 0.000
-1.603 -1.603 5.804
ATOMIC_POSITIONS crystal
Pt 0.374 0.374 0.748
B 0.750 0.250 0.500
Pt 0.626 0.626 0.252
B 0.250 0.750 0.500
Mn 0.000 0.000 0.000
```

Calculated values
Crystal system: tetragonal
Space-group type: I4/mmm
Calculated volume in A^3/atom: 11.9
Formation energy in eV/atom: -0.039
Total DFT energy (no corrections) in eV per atom: -7.5828



Entry 2:
The following is a DFT calculation (PBEsol) of an optimized crystal structure of K2ZnW. Values from VASP.

Cell and atoms, written as Quantum ESPRESSO input:
```
&SYSTEM
  ibrav = 0, nat = 4, ntyp = 3
/
ATOMIC_SPECIES
K 39.10 K.upf
Zn 65.41 Zn.upf
W 183.84 W.upf
CELL_PARAMETERS angstrom
2.758 0.000 0.000
0.000 4.482 0.000
-1.379 -2.241 10.045
ATOMIC_POSITIONS crystal
K 0.145 0.145 0.290
K 0.855 0.855 0.710
Zn 0.500 0.000 0.000
W 0.000 0.500 0.000
```

Calculated values
Crystal system: orthorhombic
Space-group type: Immm
Calculated volume in A^3/atom: 31.0
Formation energy in eV/atom: 1.014
Total DFT energy (no corrections) in eV per atom: -3.4003



Entry 3:
The following is a DFT calculation (PBEsol) of an optimized crystal structure of LaAlSb. Values from VASP.

Cell and atoms, written as Quantum ESPRESSO input:
```
&SYSTEM
  ibrav = 0, nat = 3, ntyp = 3
/
ATOMIC_SPECIES
Sb 121.76 Sb.upf
La 138.91 La.upf
Al 26.98 Al.upf
CELL_PARAMETERS angstrom
-0.256 2.807 2.476
-0.377 -2.660 2.619
5.738 -0.175 -1.871
ATOMIC_POSITIONS crystal
Sb 0.361 0.361 0.723
La 0.666 0.666 0.332
Al 0.972 0.972 0.945
```

Calculated values
Crystal system: orthorhombic
Space-group type: Fmm2
Calculated volume in A^3/atom: 25.6
Formation energy without anion corrections in eV per atom: -0.493
Total DFT energy (no corrections) in eV per atom: -5.1581



The spin magnetization results, record by record, are as follows: 0.822, 0.009, 0.000 μB per atom.
The density of states at the Fermi level results, record by record, are as follows: 2.1, 5.0, 2.5 states/eV/f.u..